No. 1
Computed, not measured: a relaxed structure of Ba2TlSnIr at the PBE level of DFT.

Lattice parameters (Å, degrees): 6.1355 6.1355 5.1137 90.00 90.00 90.00
Atoms (fractional coordinates):
Ir 0.0000 0.0000 0.0000
Ba 0.0000 0.5000 0.0000
Ba 0.5000 0.0000 0.0000
Tl 0.5000 0.5000 0.5000
Sn 0.0000 0.0000 0.5000

---

No. 2
Computed, not measured: a relaxed structure of BaSnIr2W at the PBE level of DFT.

Lattice parameters (Å, degrees): 5.1128 5.3058 5.1128 90.00 90.00 90.00
Last column: magnetic moment on the atom in μB.
Atoms (fractional coordinates):
Sn 0.5000 0.5000 0.5000  -0.02
Ir 0.0000 0.0000 0.5000  0.33
Ir 0.5000 0.0000 0.0000  0.34
W 0.0000 0.5000 0.0000  2.29
Ba 0.0000 0.0000 0.0000  0.04

---

No. 3
Computed, not measured: a relaxed structure of Ba2Zn3Sn4Ir at the PBE level of DFT.

Lattice parameters (Å, degrees): 4.7960 4.7960 11.2146 90.00 90.00 90.00
Atoms (fractional coordinates):
Zn 0.5000 0.0000 0.8617
Zn 0.0000 0.5000 0.1383
Zn 0.0000 0.0000 0.5000
Ir 0.5000 0.5000 0.5000
Ba 0.0000 0.5000 0.7376
Ba 0.5000 0.0000 0.2624
Sn 0.0000 0.5000 0.3851
Sn 0.0000 0.0000 0.0000
Sn 0.5000 0.0000 0.6149
Sn 0.5000 0.5000 0.0000

---

no.,magnetization (μB/f.u.),DFT formation energy (eV/f.u.)
1,0.0,-1.38
2,3.6,14.42
3,0.0,-3.65